The following is a DFT calculation (meta-GGA SCAN) of a PBEsol-optimized structure of Si4WAu.

* total DFT energy (no corrections): -1.0700 hartree per atom
* formation energy (no corrections): 0.701 eV/atom
* N(E_F): 0.532 states/eV per atom

Cell: 6.955 6.955 6.955 Å, 90.00 90.00 90.00°
Space group F-43m (No. 216)
Symmetry-distinct sites (fractional):
Si  0.124  0.124  0.376
W  0.250  0.250  0.750
Au  0.000  0.000  0.000